Entry 1:
## VB2AsP (GGA-PBE)

Data for VB2AsP after structural relaxation.

As for the crystal system: tetragonal. The formation energy comes out at 1.035 eV/atom. For the uncorrected energy, the calculation gives -5.47 eV per atom. The magnetization is 0.00 μB per formula unit.

The space group is P4/mmm (No. 123) and the conventional cell measures 3.784, 3.784 and 4.777 Å, with angles of 90.00, 90.00 and 90.00 degrees. The asymmetric unit holds V at (0.000, 0.000, 0.000), B at (0.000, 0.500, 0.500), As at (0.500, 0.500, 0.000) and P at (0.000, 0.000, 0.500).

***

Entry 2:
## ScZn2Fe (GGA-PBE)

Data for ScZn2Fe after structural relaxation.

As for the crystal system: trigonal. The formation energy comes out at 0.130 eV/atom. For the uncorrected energy, the calculation gives -4.21 eV per atom. The magnetization is 2.54 μB per formula unit.

The space group is R-3m (No. 166, hexagonal axes) and the conventional cell measures 2.8940, 2.8940 and 26.6741 Å, with angles of 90.00, 90.00 and 120.00 degrees. The asymmetric unit holds Sc at (0.0000, 0.0000, 0.0000), Zn at (0.0000, 0.0000, 0.2421) and Fe at (0.0000, 0.0000, 0.5000).